Below is a relaxed Y4P crystal, with properties calculated at the PBE-GGA level.

Cell: 9.8179 9.8179 9.8179 Å, 156.65 156.65 33.26°
Fractional positions:
P: 0.0000 0.0000 0.0000
Y: 0.2500 0.7500 0.5000
Y: 0.5824 0.5824 0.0000
Y: 0.7500 0.2500 0.5000
Y: 0.4176 0.4176 0.0000

Results
- DFT formation energy (eV per formula unit) = 1.101
- energy above the lowest structure with this stoichiometry (meV per atom) = 679
- SG = No. 139
- electronic total energy (Ry/atom) = -0.4434
- total magnetization (μB/atom) = 0.00